Density functional theory data (PBE with a Hubbard U) for a relaxed CrSeIO2 crystal.

POSCAR file:
```
CrSeIO2
1.0
-2.6646 0.5490 -2.7400
-2.6194 -1.8096 2.1848
-1.9046 6.5863 3.1719
Cr I Se O
1 1 1 2
Cartesian
0.0000 0.0000 0.0000 Cr
-0.9523 3.2932 1.5860 I
-3.5943 2.6629 1.3084 Se
-1.3323 0.2745 -1.3700 O
-1.3097 -0.9048 1.0924 O
```

Summary:
* raw total energy: -4.826 eV per atom
* SG: P4/mmm (123)
* polymorph energy (0 for the lowest one): 0.000 eV per atom
* magnetization: 2.0 μB per formula unit